No. 1
8
Lattice="5.345 0.000 0.000 2.672 4.629 0.000 2.672 1.543 8.838" Properties=species:S:1:pos:R:3 comment="Pm2PrTmHg4 (PBE-GGA, optimized geometry)" space_group="R-3m (166)" delta_e_f_mev_per_atom=-465 pbc="T T T"
Hg 8.017 4.629 3.385
Hg 2.672 1.543 5.453
Pm 8.017 4.629 6.607
Hg 5.345 3.086 1.206
Pm 2.672 1.543 2.231
Tm 5.345 3.086 4.419
Pr 0.000 0.000 0.000
Hg 5.345 3.086 7.632

No. 2
5
Lattice="-4.487 1.159 1.461 -0.712 -4.583 1.449 1.724 1.124 4.402" Properties=species:S:1:pos:R:3 comment="Zn3RuN (PBE-GGA, optimized geometry)" space_group="Pm-3m (221)" polymorph_energy_ev_per_fu=4.749 formation_energy_uncorrected_mev_per_atom=1504 pbc="T T T"
Zn -2.243 0.579 0.731
Ru 0.000 0.000 0.000
Zn 0.862 0.562 2.201
Zn -0.356 -2.292 0.724
N -1.738 -1.150 3.656

No. 3
12
Lattice="-3.673 -2.651 0.091 2.194 0.963 3.845 -3.508 4.888 0.777" Properties=species:S:1:pos:R:3 comment="UAlFe2H8 (PBE-GGA, optimized geometry)" space_group="P-3m1 (164)" dft_energy_ev_per_cell=-57.8 pbc="T T T"
Fe -3.041 0.398 1.636
U -1.754 2.444 0.389
H -1.538 0.214 0.824
H -1.038 1.537 2.877
Fe -1.946 2.802 3.078
H -1.622 4.305 3.844
H -3.950 1.663 1.837
H -2.713 3.826 1.931
H -3.449 2.986 3.889
Al 0.000 0.000 0.000
H -2.274 -0.626 2.782
H -3.365 -1.105 0.869

Question: What is the formula in the second record?
Answer: Zn3RuN